*P*
DFT (PBE-GGA) results for an optimized crystal structure of SnBi2Pb8.

## Properties
Fermi-level density of states	5.26	states/eV/f.u.

Cell and atoms, written as CIF:
```
data_SnBi2Pb8
_symmetry_space_group_name_H-M 'C 1 2/m 1'
_symmetry_Int_Tables_number 12
_symmetry_space_group_name_Hall '-C 2y'
_cell_length_a 15.850
_cell_length_b 9.799
_cell_length_c 4.892
_cell_angle_alpha 90.00
_cell_angle_beta 107.43
_cell_angle_gamma 90.00
loop_
_atom_site_label
_atom_site_fract_x
_atom_site_fract_y
_atom_site_fract_z
_atom_site_occupancy
Sn1 0.000 0.000 0.000 1
Bi1 0.178 0.500 0.679 1
Pb1 0.000 0.270 0.500 1
Pb2 0.154 0.000 0.654 1
Pb3 0.161 0.258 0.160 1
```

*Q*
DFT (PBE-GGA) results for an optimized crystal structure of SnBi2Pb8.

## Properties
Fermi-level density of states	6.73	states/eV/f.u.

Cell and atoms, written as CIF:
```
data_SnBi2Pb8
_symmetry_space_group_name_H-M 'C 1 2/m 1'
_symmetry_Int_Tables_number 12
_symmetry_space_group_name_Hall '-C 2y'
_cell_length_a 17.764
_cell_length_b 6.877
_cell_length_c 6.268
_cell_angle_alpha 90.00
_cell_angle_beta 107.96
_cell_angle_gamma 90.00
loop_
_atom_site_label
_atom_site_fract_x
_atom_site_fract_y
_atom_site_fract_z
_atom_site_occupancy
Sn1 0.000 0.000 0.000 1
Bi1 0.165 0.000 0.878 1
Pb1 0.080 0.264 0.416 1
Pb2 0.138 0.500 0.959 1
Pb3 0.244 0.000 0.444 1
```

Calculated relative energies: *P* 0; *Q* 42, given in meV/atom

*P*
DFT (PBE-GGA) results for an optimized crystal structure of SnBi2Pb2.

## Properties
Fermi-level density of states	2.02	states/eV/f.u.

Cell and atoms, written as CIF:
```
data_SnBi2Pb2
_symmetry_space_group_name_H-M 'P -1'
_symmetry_Int_Tables_number 2
_symmetry_space_group_name_Hall '-P 1'
_cell_length_a 3.412
_cell_length_b 5.512
_cell_length_c 8.698
_cell_angle_alpha 105.28
_cell_angle_beta 94.34
_cell_angle_gamma 95.45
loop_
_atom_site_label
_atom_site_fract_x
_atom_site_fract_y
_atom_site_fract_z
_atom_site_occupancy
Sn1 0.000 0.000 0.000 1
Bi1 0.443 0.599 0.195 1
Pb1 0.270 0.796 0.600 1
```

*Q*
DFT (PBE-GGA) results for an optimized crystal structure of SnBi2Pb2.

## Properties
Fermi-level density of states	2.52	states/eV/f.u.

Cell and atoms, written as CIF:
```
data_SnBi2Pb2
_symmetry_space_group_name_H-M 'P 1 2/m 1'
_symmetry_Int_Tables_number 10
_symmetry_space_group_name_Hall '-P 2y'
_cell_length_a 4.410
_cell_length_b 4.146
_cell_length_c 9.207
_cell_angle_alpha 90.00
_cell_angle_beta 103.73
_cell_angle_gamma 90.00
loop_
_atom_site_label
_atom_site_fract_x
_atom_site_fract_y
_atom_site_fract_z
_atom_site_occupancy
Sn1 0.000 0.000 0.000 1
Bi1 0.181 0.000 0.368 1
Pb1 0.403 0.500 0.807 1
```

Calculated relative energies: *P* 0; *Q* 22, given in meV/atom

*P*
DFT (PBE-GGA) results for an optimized crystal structure of SnBi2Pb2.

## Properties
Fermi-level density of states	2.75	states/eV/f.u.

Cell and atoms, written as CIF:
```
data_SnBi2Pb2
_symmetry_space_group_name_H-M 'P 4/m b m'
_symmetry_Int_Tables_number 127
_symmetry_space_group_name_Hall '-P 4 2ab'
_cell_length_a 9.816
_cell_length_b 9.816
_cell_length_c 3.449
_cell_angle_alpha 90.00
_cell_angle_beta 90.00
_cell_angle_gamma 90.00
loop_
_atom_site_label
_atom_site_fract_x
_atom_site_fract_y
_atom_site_fract_z
_atom_site_occupancy
Sn1 0.000 0.000 0.000 1
Bi1 0.169 0.331 0.500 1
Pb1 0.129 0.629 0.000 1
```

*Q*
DFT (PBE-GGA) results for an optimized crystal structure of SnBi2Pb2.

## Properties
Fermi-level density of states	2.34	states/eV/f.u.

Cell and atoms, written as CIF:
```
data_SnBi2Pb2
_symmetry_space_group_name_H-M 'P 4/m b m'
_symmetry_Int_Tables_number 127
_symmetry_space_group_name_Hall '-P 4 2ab'
_cell_length_a 8.967
_cell_length_b 8.967
_cell_length_c 4.095
_cell_angle_alpha 90.00
_cell_angle_beta 90.00
_cell_angle_gamma 90.00
loop_
_atom_site_label
_atom_site_fract_x
_atom_site_fract_y
_atom_site_fract_z
_atom_site_occupancy
Sn1 0.000 0.000 0.000 1
Bi1 0.155 0.345 0.000 1
Pb1 0.143 0.643 0.500 1
```

*R*
DFT (PBE-GGA) results for an optimized crystal structure of SnBi2Pb2.

## Properties
Fermi-level density of states	3.25	states/eV/f.u.

Cell and atoms, written as CIF:
```
data_SnBi2Pb2
_symmetry_space_group_name_H-M 'I 4/m m m'
_symmetry_Int_Tables_number 139
_symmetry_space_group_name_Hall '-I 4 2'
_cell_length_a 4.487
_cell_length_b 4.487
_cell_length_c 16.760
_cell_angle_alpha 90.00
_cell_angle_beta 90.00
_cell_angle_gamma 90.00
loop_
_atom_site_label
_atom_site_fract_x
_atom_site_fract_y
_atom_site_fract_z
_atom_site_occupancy
Sn1 0.000 0.000 0.000 1
Bi1 0.000 0.000 0.406 1
Pb1 0.000 0.500 0.250 1
```

*S*
DFT (PBE-GGA) results for an optimized crystal structure of SnBi2Pb2.

## Properties
Fermi-level density of states	4.30	states/eV/f.u.

Cell and atoms, written as CIF:
```
data_SnBi2Pb2
_symmetry_space_group_name_H-M 'I 4/m m m'
_symmetry_Int_Tables_number 139
_symmetry_space_group_name_Hall '-I 4 2'
_cell_length_a 4.390
_cell_length_b 4.390
_cell_length_c 17.790
_cell_angle_alpha 90.00
_cell_angle_beta 90.00
_cell_angle_gamma 90.00
loop_
_atom_site_label
_atom_site_fract_x
_atom_site_fract_y
_atom_site_fract_z
_atom_site_occupancy
Sn1 0.000 0.000 0.000 1
Bi1 0.000 0.500 0.250 1
Pb1 0.000 0.000 0.408 1
```

Calculated relative energies: *P* 62; *Q* 0; *R* 51; *S* 86, given in meV/atom

*P*
DFT (PBE-GGA) results for an optimized crystal structure of SnBi7Pb12.

## Properties
Fermi-level density of states	9.27	states/eV/f.u.

Cell and atoms, written as CIF:
```
data_SnBi7Pb12
_symmetry_space_group_name_H-M 'R -3'
_symmetry_Int_Tables_number 148
_symmetry_space_group_name_Hall '-R 3'
_cell_length_a 14.9538
_cell_length_b 14.9538
_cell_length_c 10.2179
_cell_angle_alpha 90.00
_cell_angle_beta 90.00
_cell_angle_gamma 120.00
loop_
_atom_site_label
_atom_site_fract_x
_atom_site_fract_y
_atom_site_fract_z
_atom_site_occupancy
Sn1 0.0000 0.0000 0.0000 1
Bi1 0.0000 0.0000 0.5000 1
Bi2 0.0594 0.8224 0.8952 1
Pb1 0.0441 0.8053 0.5713 1
Pb2 0.0558 0.8348 0.2333 1
```

*Q*
DFT (PBE-GGA) results for an optimized crystal structure of SnBi7Pb12.

## Properties
Fermi-level density of states	10.03	states/eV/f.u.

Cell and atoms, written as CIF:
```
data_SnBi7Pb12
_symmetry_space_group_name_H-M 'R -3'
_symmetry_Int_Tables_number 148
_symmetry_space_group_name_Hall '-R 3'
_cell_length_a 15.4679
_cell_length_b 15.4679
_cell_length_c 9.5408
_cell_angle_alpha 90.00
_cell_angle_beta 90.00
_cell_angle_gamma 120.00
loop_
_atom_site_label
_atom_site_fract_x
_atom_site_fract_y
_atom_site_fract_z
_atom_site_occupancy
Sn1 0.0000 0.0000 0.0000 1
Bi1 0.0000 0.0000 0.5000 1
Bi2 0.0068 0.1715 0.7974 1
Pb1 0.0067 0.7574 0.8798 1
Pb2 0.0823 0.5011 0.1357 1
```

Calculated relative energies: *P* 16; *Q* 0, given in meV/atom